#one
Below is a relaxed structure of TbScAu2, with properties calculated at the PBE level.

Cell lengths 3.4811, 3.4811, 7.1178 Å; angles 90.00, 90.00, 90.00 degrees
Atoms (fractional coordinates):
Au 0.0000 0.0000 0.2245
Au 0.0000 0.0000 0.7755
Sc 0.5000 0.5000 0.0000
Tb 0.5000 0.5000 0.5000

- Spin magnetization: 0.00 μB/atom



#two
Below is a relaxed structure of TbScAu2, with properties calculated at the PBE level.

Cell lengths 4.9779, 4.9779, 4.9779 Å; angles 60.00, 60.00, 60.00 degrees
Atoms (fractional coordinates):
Au 0.7500 0.7500 0.7500
Au 0.2500 0.2500 0.2500
Tb 0.0000 0.0000 0.0000
Sc 0.5000 0.5000 0.5000

- Spin magnetization: 0.00 μB/atom



Stability check: which of them is most stable? #one.



#one
Below is a relaxed structure of ScTcAu, with properties calculated at the PBE level.

Cell lengths 4.4226, 4.4226, 4.4226 Å; angles 60.00, 60.00, 60.00 degrees
Atoms (fractional coordinates):
Sc 0.7500 0.7500 0.7500
Au 0.5000 0.5000 0.5000
Tc 0.0000 0.0000 0.0000

- Spin magnetization: 0.44 μB/atom



#two
Below is a relaxed structure of ScTcAu, with properties calculated at the PBE level.

Cell lengths 4.4850, 4.4850, 4.4850 Å; angles 60.00, 60.00, 60.00 degrees
Atoms (fractional coordinates):
Sc 0.0000 0.0000 0.0000
Au 0.7500 0.7500 0.7500
Tc 0.5000 0.5000 0.5000

- Spin magnetization: 0.68 μB/atom



#three
Below is a relaxed structure of ScTcAu, with properties calculated at the PBE level.

Cell lengths 4.6857, 4.6857, 2.7402 Å; angles 90.00, 90.00, 120.00 degrees
Atoms (fractional coordinates):
Sc 0.6667 0.3333 0.3191
Au 0.0000 0.0000 0.0382
Tc 0.3333 0.6667 0.6427

- Spin magnetization: 0.00 μB/atom



Stability check: which of them is most stable? #three.



#one
Below is a relaxed structure of ScTc2Au, with properties calculated at the PBE level.

Cell lengths 4.8295, 2.9886, 4.7578 Å; angles 87.03, 90.00, 90.00 degrees
Atoms (fractional coordinates):
Tc 0.0000 0.4330 0.5207
Tc 0.0000 0.0670 0.9793
Au 0.5000 0.2500 0.2500
Sc 0.5000 0.7500 0.7500

- Spin magnetization: 0.00 μB/atom



#two
Below is a relaxed structure of ScTc2Au, with properties calculated at the PBE level.

Cell lengths 5.1745, 5.1745, 5.1745 Å; angles 135.74, 135.74, 64.38 degrees
Atoms (fractional coordinates):
Tc 0.5000 0.5000 0.0000
Tc 0.0000 0.0000 0.0000
Sc 0.7500 0.2500 0.5000
Au 0.2500 0.7500 0.5000

- Spin magnetization: 0.00 μB/atom



Stability check: which of them is most stable? #one.



#one
Below is a relaxed structure of ScTc2Au, with properties calculated at the PBE level.

Cell lengths 3.4155, 3.4155, 5.7142 Å; angles 90.00, 90.00, 90.00 degrees
Atoms (fractional coordinates):
Sc 0.5000 0.5000 0.7500
Tc 0.0000 0.0000 0.9831
Tc 0.0000 0.0000 0.5169
Au 0.5000 0.5000 0.2500

- Spin magnetization: 0.00 μB/atom



#two
Below is a relaxed structure of ScTc2Au, with properties calculated at the PBE level.

Cell lengths 3.0505, 3.0505, 7.3295 Å; angles 90.00, 90.00, 90.00 degrees
Atoms (fractional coordinates):
Tc 0.5000 0.5000 0.2164
Tc 0.0000 0.0000 0.0270
Sc 0.5000 0.5000 0.7636
Au 0.0000 0.0000 0.4930

- Spin magnetization: 0.00 μB/atom



#three
Below is a relaxed structure of ScTc2Au, with properties calculated at the PBE level.

Cell lengths 3.8302, 3.9377, 4.3505 Å; angles 90.00, 90.00, 90.00 degrees
Atoms (fractional coordinates):
Tc 0.0000 0.0000 0.0000
Tc 0.5000 0.5000 0.0000
Sc 0.0000 0.5000 0.5000
Au 0.5000 0.0000 0.5000

- Spin magnetization: 0.00 μB/atom



#four
Below is a relaxed structure of ScTc2Au, with properties calculated at the PBE level.

Cell lengths 4.5437, 4.5437, 4.5437 Å; angles 60.00, 60.00, 60.00 degrees
Atoms (fractional coordinates):
Tc 0.2500 0.2500 0.2500
Tc 0.7500 0.7500 0.7500
Sc 0.0000 0.0000 0.0000
Au 0.5000 0.5000 0.5000

- Spin magnetization: 0.00 μB/atom



Stability check: which of them is most stable? #two.



#one
Below is a relaxed structure of ScTc2Au, with properties calculated at the PBE level.

Cell lengths 9.3392, 9.3392, 9.3392 Å; angles 17.91, 17.91, 17.91 degrees
Atoms (fractional coordinates):
Tc 0.2562 0.2562 0.2562
Tc 0.9958 0.9958 0.9958
Sc 0.7471 0.7471 0.7471
Au 0.5009 0.5009 0.5009

- Spin magnetization: 0.00 μB/atom



#two
Below is a relaxed structure of ScTc2Au, with properties calculated at the PBE level.

Cell lengths 4.8324, 4.8324, 4.8999 Å; angles 78.22, 78.22, 37.32 degrees
Atoms (fractional coordinates):
Sc 0.7506 0.7506 0.7279
Au 0.5041 0.5041 0.5177
Tc 0.2582 0.2582 0.2016
Tc 0.9870 0.9870 0.0528

- Spin magnetization: 0.00 μB/atom



#three
Below is a relaxed structure of ScTc2Au, with properties calculated at the PBE level.

Cell lengths 2.8905, 4.3951, 5.4818 Å; angles 90.00, 90.00, 90.00 degrees
Atoms (fractional coordinates):
Au 0.5000 0.5000 0.2500
Tc 0.0000 0.0000 0.5400
Tc 0.0000 0.0000 0.9600
Sc 0.5000 0.5000 0.7500

- Spin magnetization: 0.00 μB/atom



#four
Below is a relaxed structure of ScTc2Au, with properties calculated at the PBE level.

Cell lengths 3.8701, 2.9961, 6.3901 Å; angles 66.31, 90.00, 90.00 degrees
Atoms (fractional coordinates):
Tc 0.5000 0.2305 0.2118
Tc 0.0000 0.9948 0.0319
Sc 0.5000 0.7822 0.7507
Au 0.0000 0.4925 0.5056

- Spin magnetization: 0.00 μB/atom



Stability check: which of them is most stable? #four.



#one
Below is a relaxed structure of ScTc2Au, with properties calculated at the PBE level.

Cell lengths 9.4764, 9.4764, 9.4764 Å; angles 17.53, 17.53, 17.53 degrees
Atoms (fractional coordinates):
Tc 0.9997 0.9997 0.9997
Tc 0.5003 0.5003 0.5003
Sc 0.7500 0.7500 0.7500
Au 0.2500 0.2500 0.2500

- Spin magnetization: 0.00 μB/atom



#two
Below is a relaxed structure of ScTc2Au, with properties calculated at the PBE level.

Cell lengths 4.7997, 4.7997, 4.7997 Å; angles 128.72, 128.72, 75.47 degrees
Atoms (fractional coordinates):
Tc 0.2500 0.7500 0.5000
Tc 0.0000 0.0000 0.0000
Sc 0.7500 0.2500 0.5000
Au 0.5000 0.5000 0.0000

- Spin magnetization: 0.00 μB/atom



Stability check: which of them is most stable? #two.



#one
Below is a relaxed structure of Sc2TcAu, with properties calculated at the PBE level.

Cell lengths 4.6697, 4.6697, 4.6697 Å; angles 60.00, 60.00, 60.00 degrees
Atoms (fractional coordinates):
Sc 0.2500 0.2500 0.2500
Sc 0.7500 0.7500 0.7500
Au 0.5000 0.5000 0.5000
Tc 0.0000 0.0000 0.0000

- Spin magnetization: 0.00 μB/atom



#two
Below is a relaxed structure of Sc2TcAu, with properties calculated at the PBE level.

Cell lengths 5.4795, 5.4795, 5.4795 Å; angles 141.98, 132.89, 62.07 degrees
Atoms (fractional coordinates):
Au 0.2587 0.7587 0.5000
Tc 0.5045 0.5045 0.0000
Sc 0.0037 0.0037 0.0000
Sc 0.7330 0.2330 0.5000

- Spin magnetization: 0.00 μB/atom



Stability check: which of them is most stable? #one.



#one
Below is a relaxed structure of Sc2TcAu, with properties calculated at the PBE level.

Cell lengths 4.2391, 4.2391, 9.4857 Å; angles 77.09, 77.09, 90.00 degrees
Atoms (fractional coordinates):
Tc 0.5000 0.5000 0.0000
Tc 0.2500 0.7500 0.5000
Au 0.7500 0.2500 0.5000
Au 0.0000 0.0000 0.0000
Sc 0.3750 0.3882 0.7500
Sc 0.6118 0.1250 0.2500
Sc 0.1382 0.6250 0.2500
Sc 0.8750 0.8618 0.7500

- Spin magnetization: 0.14 μB/atom



#two
Below is a relaxed structure of Sc2TcAu, with properties calculated at the PBE level.

Cell lengths 3.2183, 4.1360, 5.7262 Å; angles 90.00, 90.00, 90.00 degrees
Atoms (fractional coordinates):
Au 0.5000 0.5000 0.7803
Sc 0.5000 0.5000 0.3024
Sc 0.0000 0.0000 0.9667
Tc 0.0000 0.0000 0.4506

- Spin magnetization: 0.00 μB/atom



Stability check: which of them is most stable? #two.



#one
Below is a relaxed structure of Sc2Te2Au, with properties calculated at the PBE level.

Cell lengths 4.3994, 4.3994, 7.5685 Å; angles 73.10, 73.10, 90.00 degrees
Atoms (fractional coordinates):
Te 0.2500 0.7500 0.5000
Te 0.7500 0.2500 0.5000
Sc 0.3940 0.3940 0.2121
Sc 0.6060 0.6060 0.7879
Au 0.0000 0.0000 0.0000

- Spin magnetization: 0.10 μB/atom



#two
Below is a relaxed structure of Sc2Te2Au, with properties calculated at the PBE level.

Cell lengths 7.8232, 7.8232, 3.8959 Å; angles 90.00, 90.00, 90.00 degrees
Atoms (fractional coordinates):
Te 0.6538 0.8462 0.5000
Te 0.1538 0.6538 0.5000
Te 0.3462 0.1538 0.5000
Te 0.8462 0.3462 0.5000
Sc 0.6466 0.1466 0.0000
Sc 0.8534 0.6466 0.0000
Sc 0.1466 0.3534 0.0000
Sc 0.3534 0.8534 0.0000
Au 0.0000 0.0000 0.0000
Au 0.5000 0.5000 0.0000

- Spin magnetization: 0.18 μB/atom



#three
Below is a relaxed structure of Sc2Te2Au, with properties calculated at the PBE level.

Cell lengths 8.0045, 8.0045, 3.6826 Å; angles 90.00, 90.00, 90.00 degrees
Atoms (fractional coordinates):
Te 0.3500 0.8500 0.0000
Te 0.8500 0.6500 0.0000
Te 0.1500 0.3500 0.0000
Te 0.6500 0.1500 0.0000
Sc 0.8513 0.3513 0.5000
Sc 0.6487 0.8513 0.5000
Sc 0.1487 0.6487 0.5000
Sc 0.3513 0.1487 0.5000
Au 0.0000 0.0000 0.0000
Au 0.5000 0.5000 0.0000

- Spin magnetization: 0.00 μB/atom



Stability check: which of them is most stable? #two.



#one
Below is a relaxed structure of ScTe3Au, with properties calculated at the PBE level.

Cell lengths 5.3893, 5.3893, 5.3893 Å; angles 90.00, 90.00, 90.00 degrees
Atoms (fractional coordinates):
Te 0.5000 0.0000 0.0000
Te 0.0000 0.5000 0.0000
Te 0.0000 0.0000 0.5000
Au 0.0000 0.0000 0.0000
Sc 0.5000 0.5000 0.5000

- Spin magnetization: 0.00 μB/atom



#two
Below is a relaxed structure of ScTe3Au, with properties calculated at the PBE level.

Cell lengths 5.4801, 5.4801, 5.4801 Å; angles 90.00, 90.00, 90.00 degrees
Atoms (fractional coordinates):
Sc 0.0000 0.0000 0.0000
Te 0.0000 0.5000 0.0000
Te 0.0000 0.0000 0.5000
Te 0.5000 0.0000 0.0000
Au 0.5000 0.5000 0.5000

- Spin magnetization: 0.00 μB/atom



Stability check: which of them is most stable? #two.



#one
Below is a relaxed structure of ScTe3Au2, with properties calculated at the PBE level.

Cell lengths 4.0742, 7.8433, 11.1499 Å; angles 104.72, 90.00, 90.00 degrees
Atoms (fractional coordinates):
Au 0.2500 0.9325 0.0773
Au 0.7500 0.0675 0.9227
Au 0.2500 0.4078 0.4097
Au 0.7500 0.5922 0.5903
Te 0.7500 0.9560 0.6687
Te 0.2500 0.3038 0.0277
Te 0.7500 0.6962 0.9723
Te 0.2500 0.0440 0.3313
Te 0.2500 0.4133 0.6749
Te 0.7500 0.5867 0.3251
Sc 0.2500 0.7869 0.7942
Sc 0.7500 0.2131 0.2058

- Spin magnetization: 0.00 μB/atom



#two
Below is a relaxed structure of ScTe3Au2, with properties calculated at the PBE level.

Cell lengths 4.1399, 7.5442, 10.8807 Å; angles 95.89, 100.97, 90.00 degrees
Atoms (fractional coordinates):
Sc 0.6487 0.0559 0.2973
Sc 0.3513 0.9441 0.7027
Au 0.2951 0.5574 0.5902
Au 0.7049 0.4426 0.4098
Au 0.0458 0.1550 0.0917
Au 0.9542 0.8450 0.9083
Te 0.2473 0.1946 0.4947
Te 0.0902 0.8224 0.1804
Te 0.9098 0.1776 0.8196
Te 0.7527 0.8054 0.5053
Te 0.4212 0.6173 0.8425
Te 0.5788 0.3827 0.1575

- Spin magnetization: 0.00 μB/atom



Stability check: which of them is most stable? #two.